Density functional theory data (PBE) for an optimized crystal structure of Ce7HgPb3.

## Properties
size of the total moment: 7.08 μB per formula unit
total DFT energy (no corrections): -4.97 eV per atom
symmetry: C2/m, No. 12

```
11
Lattice="5.439 -5.873 0.000 5.439 5.873 0.000 -2.580 0.000 5.261" Properties=species:S:1:pos:R:3 pbc="T T T"
Ce 0.000 0.000 0.000
Ce 2.602 2.887 1.877
Ce 1.365 0.000 4.382
Ce 5.696 2.887 3.384
Ce 2.602 -2.887 1.877
Ce 6.933 0.000 0.879
Ce 5.696 -2.887 3.384
Hg -1.290 0.000 2.631
Pb 5.439 2.758 0.000
Pb 4.149 0.000 2.631
Pb 5.439 -2.758 0.000
```